Record 1
VASP calculation (GGA-PBE) on a relaxed Pm2MgH crystal.

Unit cell a=3.331 b=3.331 c=8.170 alpha=90.00 beta=90.00 gamma=90.00
Positions (direct):
H: 0.500 0.500 0.000
Pm: 0.000 0.000 0.199
Pm: 0.000 0.000 0.801
Mg: 0.500 0.500 0.500

Calculated values
- density of states at the Fermi level (states/eV/atom) = 0.93
- SG = P4/mmm, No. 123

Record 2
VASP calculation (GGA-PBE) on a relaxed Pm3MgH crystal.

Unit cell a=5.021 b=5.021 c=5.021 alpha=90.00 beta=90.00 gamma=90.00
Positions (direct):
H: 0.000 0.000 0.000
Mg: 0.500 0.500 0.500
Pm: 0.500 0.000 0.000
Pm: 0.000 0.500 0.000
Pm: 0.000 0.000 0.500

Calculated values
- density of states at the Fermi level (states/eV/atom) = 1.56
- SG = Pm-3m, No. 221

Record 3
VASP calculation (GGA-PBE) on a relaxed PmMg2H7 crystal.

Unit cell a=3.533 b=5.640 c=5.640 alpha=112.03 beta=90.00 gamma=90.00
Positions (direct):
H: 0.500 0.053 0.298
H: 0.000 0.249 0.751
Pm: 0.000 0.000 0.000
H: 0.500 0.702 0.947
H: 0.500 0.298 0.053
Mg: 0.500 0.694 0.306
H: 0.500 0.947 0.702
H: 0.500 0.500 0.500
Mg: 0.500 0.306 0.694
H: 0.000 0.751 0.249

Calculated values
- SG = Cmmm, No. 65

Record 4
VASP calculation (GGA-PBE) on a relaxed PmMgH2 crystal.

Unit cell a=3.758 b=3.758 c=5.714 alpha=70.80 beta=70.80 gamma=60.00
Positions (direct):
H: 0.877 0.877 0.370
Mg: 0.000 0.000 0.000
H: 0.123 0.123 0.630
Pm: 0.500 0.500 0.500

Calculated values
- density of states at the Fermi level (states/eV/atom) = 0.24
- SG = R-3m, No. 166

Record 5
VASP calculation (GGA-PBE) on a relaxed Pm2MgH crystal.

Unit cell a=3.643 b=3.643 c=8.628 alpha=77.81 beta=77.81 gamma=60.00
Positions (direct):
Pm: 0.723 0.723 0.830
Mg: 0.500 0.500 0.500
H: 0.000 0.000 0.000
Pm: 0.277 0.277 0.170

Calculated values
- density of states at the Fermi level (states/eV/atom) = 0.88
- SG = R-3m, No. 166

Record 6
VASP calculation (GGA-PBE) on a relaxed PmMgH4 crystal.

Unit cell a=3.572 b=3.572 c=5.198 alpha=89.95 beta=89.97 gamma=90.00
Positions (direct):
H: 0.502 0.998 0.723
Pm: 0.501 0.497 0.998
H: 0.002 0.498 0.723
Mg: 0.001 0.998 0.498
H: 0.501 0.997 0.273
H: 0.001 0.497 0.273

Calculated values
- density of states at the Fermi level (states/eV/atom) = 0.15
- SG = P4/mmm, No. 123

Record 7
VASP calculation (GGA-PBE) on a relaxed PmMg2H6 crystal.

Unit cell a=5.467 b=5.467 c=5.467 alpha=60.00 beta=60.00 gamma=60.00
Positions (direct):
Pm: 0.000 0.000 0.000
H: 0.279 0.721 0.721
Mg: 0.250 0.250 0.250
H: 0.721 0.279 0.279
H: 0.721 0.721 0.279
H: 0.279 0.721 0.279
Mg: 0.750 0.750 0.750
H: 0.279 0.279 0.721
H: 0.721 0.279 0.721

Calculated values
- density of states at the Fermi level (states/eV/atom) = 0.26
- SG = Fm-3m, No. 225

Record 8
VASP calculation (GGA-PBE) on a relaxed Pm12Mg3H5 crystal.

Unit cell a=13.930 b=13.930 c=13.930 alpha=109.47 beta=109.47 gamma=109.47
Positions (direct):
Pm: 0.903 0.807 0.798
Pm: 0.403 0.106 0.596
Pm: 0.010 0.606 0.702
Pm: 0.298 0.894 0.990
H: 0.750 0.625 0.375
Pm: 0.597 0.702 0.693
Pm: 0.510 0.202 0.106
H: 0.250 0.375 0.625
Pm: 0.404 0.010 0.307
Pm: 0.990 0.596 0.193
Pm: 0.894 0.298 0.490
Pm: 0.990 0.394 0.298
Pm: 0.307 0.798 0.403
Pm: 0.404 0.394 0.597
H: 0.500 0.000 0.000
Mg: 0.875 0.750 0.125
Pm: 0.097 0.193 0.202
H: 0.375 0.250 0.125
Pm: 0.807 0.903 0.298
Pm: 0.807 0.904 0.010
Pm: 0.193 0.097 0.702
Mg: 0.250 0.625 0.875
H: 0.750 0.125 0.875
H: 0.125 0.375 0.250
Pm: 0.904 0.097 0.894
Mg: 0.125 0.875 0.750
Mg: 0.750 0.375 0.125
Pm: 0.606 0.010 0.202
Pm: 0.490 0.693 0.096
Pm: 0.097 0.904 0.394
Pm: 0.894 0.597 0.904
H: 0.875 0.250 0.625
Pm: 0.202 0.510 0.606
Pm: 0.510 0.307 0.904
H: 0.250 0.875 0.125
H: 0.625 0.875 0.250
H: 0.500 0.500 0.500
Pm: 0.490 0.798 0.894
Mg: 0.375 0.750 0.625
Pm: 0.702 0.597 0.193
Pm: 0.202 0.693 0.097
H: 0.000 0.000 0.500
H: 0.000 0.500 0.000
Pm: 0.106 0.702 0.510
Mg: 0.875 0.125 0.250
H: 0.125 0.750 0.375
Pm: 0.693 0.490 0.596
H: 0.625 0.750 0.875
Pm: 0.798 0.490 0.394
Pm: 0.307 0.510 0.404
H: 0.000 0.500 0.500
Pm: 0.193 0.096 0.990
Pm: 0.596 0.990 0.693
Pm: 0.606 0.596 0.903
H: 0.875 0.625 0.750
Pm: 0.403 0.298 0.307
Pm: 0.702 0.106 0.010
Pm: 0.693 0.202 0.597
Mg: 0.125 0.250 0.875
H: 0.500 0.500 0.000
Mg: 0.625 0.375 0.750
Pm: 0.096 0.903 0.106
Pm: 0.596 0.606 0.403
Mg: 0.375 0.625 0.250
Mg: 0.250 0.125 0.375
Pm: 0.394 0.990 0.798
Mg: 0.625 0.250 0.375
Mg: 0.750 0.875 0.625
Pm: 0.597 0.894 0.404
Pm: 0.298 0.403 0.807
H: 0.500 0.000 0.500
Pm: 0.903 0.096 0.606
Pm: 0.904 0.807 0.510
Pm: 0.798 0.307 0.903
Pm: 0.010 0.404 0.807
Pm: 0.106 0.403 0.096
Pm: 0.096 0.193 0.490
H: 0.000 0.000 0.000
H: 0.375 0.125 0.750
Pm: 0.394 0.404 0.097

Calculated values
- density of states at the Fermi level (states/eV/atom) = 0.95
- SG = Ia-3d, No. 230

Record 9
VASP calculation (GGA-PBE) on a relaxed PmMgH6Pt2 crystal.

Unit cell a=4.564 b=4.564 c=6.089 alpha=67.99 beta=67.99 gamma=60.00
Positions (direct):
H: 0.557 0.075 0.812
H: 0.075 0.557 0.812
H: 0.925 0.443 0.188
H: 0.443 0.925 0.188
Mg: 0.500 0.500 0.500
Pm: 0.000 0.000 0.000
H: 0.557 0.557 0.812
Pt: 0.211 0.211 0.366
H: 0.443 0.443 0.188
Pt: 0.789 0.789 0.634

Calculated values
- density of states at the Fermi level (states/eV/atom) = 0.16
- SG = R-3m, No. 166

Record 10
VASP calculation (GGA-PBE) on a relaxed PmMgH6Rh2 crystal.

Unit cell a=4.605 b=4.605 c=5.864 alpha=66.88 beta=66.88 gamma=60.00
Positions (direct):
Mg: 0.500 0.500 0.500
H: 0.437 0.437 0.188
H: 0.563 0.563 0.812
H: 0.437 0.939 0.188
H: 0.563 0.061 0.812
H: 0.061 0.563 0.812
Rh: 0.208 0.208 0.376
Pm: 0.000 0.000 0.000
Rh: 0.792 0.792 0.624
H: 0.939 0.437 0.188

Calculated values
- density of states at the Fermi level (states/eV/atom) = 0.31
- SG = R-3m, No. 166

Record 11
VASP calculation (GGA-PBE) on a relaxed Pm2MgH12Rh3 crystal.

Unit cell a=5.927 b=5.927 c=5.927 alpha=65.19 beta=65.19 gamma=65.19
Last column: magnetic moment on the atom in μB.
Positions (direct):
H: 0.613 0.123 0.123  0.00
H: 0.135 0.684 0.684  0.00
H: 0.865 0.316 0.316  0.00
H: 0.684 0.135 0.684  0.00
H: 0.877 0.387 0.877  0.00
Pm: 0.618 0.618 0.618  0.23
H: 0.316 0.316 0.865  0.00
Rh: 0.000 0.000 0.500  0.05
Rh: 0.000 0.500 0.000  0.05
H: 0.316 0.865 0.316  0.00
H: 0.123 0.123 0.613  0.00
Pm: 0.382 0.382 0.382  0.23
H: 0.387 0.877 0.877  0.00
Mg: 0.000 0.000 0.000  0.00
H: 0.123 0.613 0.123  0.00
Rh: 0.500 0.000 0.000  0.05
H: 0.877 0.877 0.387  0.00
H: 0.684 0.684 0.135  0.00

Calculated values
- density of states at the Fermi level (states/eV/atom) = 0.31
- SG = R-3m, No. 166

Record 12
VASP calculation (GGA-PBE) on a relaxed PmMgH6Ru crystal.

Unit cell a=4.652 b=4.652 c=4.519 alpha=90.00 beta=90.00 gamma=60.00
Positions (direct):
H: 0.481 0.480 0.776
H: 0.481 0.039 0.224
H: 0.039 0.480 0.224
Ru: 0.333 0.333 0.500
Mg: 0.667 0.667 0.500
H: 0.480 0.039 0.776
H: 0.480 0.481 0.224
H: 0.039 0.481 0.776
Pm: 0.000 0.000 0.000

Calculated values
- density of states at the Fermi level (states/eV/atom) = 0.23
- SG = P-6m2, No. 187

Calculated E, -14.172, -20.009, -33.846, -14.576, -15.040, -22.044, -24.558, -321.952, -43.142, -45.229, -79.121, -38.999 eV for the cell shown (same order as the records).
Calculated M_tot, 0.0002, 0.0001, 0.0000, 0.0000, 0.0000, 0.0000, 0.0000, 0.0000, 0.0000, 0.0000, 0.0482, 0.0000 μB per atom (same order as the records).